[1]
5
Lattice="3.6678 0.0000 0.0000 0.0000 3.6678 0.0000 0.0000 0.0000 4.6276" Properties=species:S:1:pos:R:3 comment="CrCoMoC2, single point on PBEsol structure, DFT meta-GGA SCAN" mass_density_g_cm3=6.16 final_energy_ev_per_atom=-16.282 pbc="T T T"
Cr 0.0000 0.0000 0.0000
Co 1.8339 1.8339 2.3138
Mo 0.0000 0.0000 2.3138
C 0.0000 1.8339 0.0000
C 1.8339 0.0000 0.0000

=====

[2]
18
Lattice="-3.7823 3.9477 5.4488 3.7823 -3.9477 5.4488 3.7823 3.9477 -5.4488" Properties=species:S:1:pos:R:3 comment="CsScAgF6, single point on PBEsol structure, DFT meta-GGA SCAN" mass_density_g_cm3=4.08 final_energy_ev_per_atom=-14.593 raw_formation_energy_ev_per_fu=-26.68 pbc="T T T"
Cs 0.0000 1.9738 1.7261
Cs 3.7823 1.9738 3.7227
Sc 3.7823 0.0000 0.0000
Sc 0.0000 0.0000 5.4488
Ag 1.8912 1.9738 -2.7244
Ag 1.8912 -1.9738 2.7244
F 3.7823 -1.9738 3.4326
F 2.3489 -0.1537 1.3965
F 5.2158 -0.1537 1.3965
F 3.7823 1.9738 0.3643
F 2.3489 3.7940 -1.3965
F 1.4335 -0.1537 4.0523
F 2.3489 4.1013 1.3965
F 1.4335 0.1537 6.8453
F 0.0000 1.9738 5.0845
F -1.4335 4.1013 4.0523
F 1.4335 4.1013 4.0523
F 0.0000 5.9215 2.0162

=====

[3]
4
Lattice="3.4478 0.0000 0.0000 0.0000 3.4478 0.0000 0.0000 0.0000 9.4647" Properties=species:S:1:pos:R:3 comment="LaYMg2, single point on PBEsol structure, DFT meta-GGA SCAN" mass_density_g_cm3=4.08 final_energy_ev_per_atom=-20.266 pbc="T T T"
La 0.0000 0.0000 0.0000
Y 1.7239 1.7239 6.7654
Mg 0.0000 0.0000 4.4829
Mg 1.7239 1.7239 2.5208

=====

[4]
4
Lattice="-1.3185 4.7474 2.5413 1.3185 -4.7474 2.5413 1.3185 4.7474 -2.5413" Properties=species:S:1:pos:R:3 comment="ReAg3, single point on PBEsol structure, DFT meta-GGA SCAN" de_polymorph_mev_per_atom=244 mass_density_g_cm3=13.30 final_energy_ev_per_atom=-40.677 pbc="T T T"
Re 0.0000 0.0000 0.0000
Ag 1.3185 2.3436 -0.9884
Ag 1.3185 0.0000 2.5184
Ag 0.0000 2.4038 1.5529

=====

[5]
4
Lattice="2.8217 0.0000 0.0000 0.0000 5.0223 0.0000 -0.5916 0.0000 5.3617" Properties=species:S:1:pos:R:3 comment="CaInMo2, single point on PBEsol structure, DFT meta-GGA SCAN" mass_density_g_cm3=7.58 final_energy_ev_per_atom=-27.650 pbc="T T T"
Ca 0.0000 0.0000 0.0000
In 1.1150 0.0000 2.6808
Mo 0.4666 2.5112 4.1546
Mo 1.7634 2.5112 1.2071

=====

[6]
5
Lattice="5.6745 0.0000 0.0000 0.0000 5.6745 0.0000 0.0000 0.0000 5.7205" Properties=species:S:1:pos:R:3 comment="BaNbAl2Se, single point on PBEsol structure, DFT meta-GGA SCAN" mass_density_g_cm3=3.27 final_energy_ev_per_atom=-20.004 raw_formation_energy_ev_per_fu=8.24 pbc="T T T"
Ba 0.0000 0.0000 0.0000
Nb 2.8373 2.8373 2.8602
Al 0.0000 2.8373 0.0000
Al 2.8373 0.0000 0.0000
Se 0.0000 0.0000 2.8602